1.
DFT (PBE-GGA) results for crystalline AcSiSn at its relaxed geometry.

Cell lengths 4.7042, 4.7042, 4.4780 Å; angles 90.00, 90.00, 120.00 degrees
Space group P-6m2 (No. 187)
Unique sites:
Ac (0.0000, 0.0000, 0.0000) (multiplicity 1)
Si (0.3333, 0.6667, 0.5000) (multiplicity 1)
Sn (0.6667, 0.3333, 0.5000) (multiplicity 1)

## Properties
* final energy: -14.802 eV per cell
* uncorrected formation energy: -0.42 eV/atom


2.
DFT (PBE-GGA) results for crystalline Ac5SiSn2 at its relaxed geometry.

Cell lengths 6.361, 10.459, 17.871 Å; angles 90.00, 90.00, 90.00 degrees
Space group Cmcm (No. 63)
Unique sites:
Ac (0.000, 0.087, 0.103) (multiplicity 8)
Ac (0.000, 0.250, 0.750) (multiplicity 4)
Ac (0.000, 0.413, 0.103) (multiplicity 8)
Si (0.000, 0.249, 0.250) (multiplicity 4)
Sn (0.000, 0.250, 0.565) (multiplicity 8)

## Properties
* final energy: -147.479 eV per cell
* uncorrected formation energy: -0.36 eV/atom


3.
DFT (PBE-GGA) results for crystalline Ac7Si2Sn2 at its relaxed geometry.

Cell lengths 9.094, 12.013, 7.604 Å; angles 90.00, 90.00, 90.00 degrees
Space group Cmmm (No. 65)
Unique sites:
Ac (0.000, 0.000, 0.000) (multiplicity 2)
Ac (0.000, 0.500, 0.243) (multiplicity 4)
Ac (0.250, 0.250, 0.271) (multiplicity 8)
Si (0.000, 0.273, 0.000) (multiplicity 4)
Sn (0.173, 0.000, 0.500) (multiplicity 4)

## Properties
* final energy: -101.943 eV per cell
* uncorrected formation energy: -0.31 eV/atom